DFT (PBE-GGA) results for an optimized crystal structure of Ce2TlCl11.

a b c (Å): 10.6685 10.8524 10.8524
angles (deg): 72.38 60.56 60.56
Closest atoms and distances in Å follow each position.
Positions (direct):
Cl  0.2609  0.2973  0.9754  1 Ce 2.65, 1 Tl 2.82
Cl  0.1194  0.0398  0.2280  1 Ce 2.56
Cl  0.2391  0.5246  0.2027  1 Ce 2.65, 1 Tl 2.82
Cl  0.4664  0.9754  0.2973  1 Ce 2.65, 1 Tl 2.82
Cl  0.6152  0.3042  0.6958  1 Cl 2.79, 2 Ce 2.80-2.87
Cl  0.1128  0.5398  0.7280  1 Ce 2.56
Cl  0.3806  0.2720  0.4602  1 Ce 2.56
Cl  0.8872  0.4602  0.2720  1 Ce 2.56
Cl  0.5336  0.0246  0.7027  1 Ce 2.65, 1 Tl 2.82
Cl  0.5000  0.5000  0.5000  2 Cl 2.79, 2 Ce 3.00
Cl  0.8806  0.9602  0.7720  1 Ce 2.56
Cl  0.6194  0.7280  0.5398  1 Ce 2.56
Cl  0.6128  0.2280  0.0398  1 Ce 2.56
Cl  0.7609  0.4754  0.7973  1 Ce 2.65, 1 Tl 2.82
Cl  0.0000  0.0000  0.0000  2 Cl 2.79, 2 Ce 3.00
Cl  0.1152  0.1958  0.8042  1 Cl 2.79, 2 Ce 2.80-2.87
Cl  0.9664  0.7973  0.4754  1 Ce 2.65, 1 Tl 2.82
Cl  0.3872  0.7720  0.9602  1 Ce 2.56
Cl  0.0336  0.2027  0.5246  1 Ce 2.65, 1 Tl 2.82
Cl  0.3848  0.6958  0.3042  1 Cl 2.79, 2 Ce 2.80-2.87
Cl  0.8848  0.8042  0.1958  1 Cl 2.79, 2 Ce 2.80-2.87
Cl  0.7391  0.7027  0.0246  1 Ce 2.65, 1 Tl 2.82
Tl  0.2500  0.2500  0.2500  4 Cl 2.82
Tl  0.7500  0.7500  0.7500  4 Cl 2.82
Ce  0.6475  0.6992  0.3008  5 Cl 2.56-2.80
Ce  0.3525  0.3008  0.6992  5 Cl 2.56-2.80
Ce  0.1475  0.8008  0.1992  5 Cl 2.56-2.80
Ce  0.8525  0.1992  0.8008  5 Cl 2.56-2.80

Results
uncorrected formation energy	-1.3900	eV per atom
volume	949.8	Å³ per cell
total moment	1.05	μB per formula unit